Density functional theory data (GGA-PBE) for BaSn4Pd6 after structural relaxation.

Lattice parameters (Å, degrees): 7.739 7.739 4.373 90.00 90.00 120.00
Sites, in units of the cell vectors:
Ba 0.000 0.000 0.000
Sn 0.333 0.667 0.000
Sn 0.395 0.198 0.500
Sn 0.802 0.198 0.500
Sn 0.802 0.605 0.500
Pd 0.206 0.413 0.500
Pd 0.206 0.794 0.500
Pd 0.538 0.075 0.000
Pd 0.538 0.462 0.000
Pd 0.587 0.794 0.500
Pd 0.925 0.462 0.000

Summary:
- M_tot (μB/f.u.) = 0.00
- energy (eV/f.u.) = -55.66
- calculated formation energy (eV/atom) = -0.597



Density functional theory data (GGA-PBE) for LiTl2Ni after structural relaxation.

Lattice parameters (Å, degrees): 5.594 5.594 5.594 138.07 138.07 60.80
Sites, in units of the cell vectors:
Li 0.000 0.000 0.000
Tl 0.500 0.500 0.000
Tl 0.750 0.250 0.500
Ni 0.250 0.750 0.500

Summary:
- M_tot (μB/f.u.) = 0.00
- energy (eV/f.u.) = -11.90
- calculated formation energy (eV/atom) = 0.132



Density functional theory data (GGA-PBE) for La5Nd2Tl2 after structural relaxation.

Lattice parameters (Å, degrees): 9.611 9.611 8.637 90.00 90.00 54.10
Sites, in units of the cell vectors:
La 0.000 0.000 0.000
La 0.022 0.683 0.663
La 0.183 0.522 0.163
La 0.317 0.978 0.663
La 0.478 0.817 0.163
La 0.500 0.500 0.500
La 0.522 0.183 0.837
La 0.683 0.022 0.337
La 0.817 0.478 0.837
La 0.978 0.317 0.337
Nd 0.132 0.868 0.363
Nd 0.368 0.632 0.863
Nd 0.632 0.368 0.137
Nd 0.868 0.132 0.637
Tl 0.198 0.198 0.000
Tl 0.302 0.302 0.500
Tl 0.698 0.698 0.500
Tl 0.802 0.802 0.000

Summary:
- M_tot (μB/f.u.) = 0.00
- energy (eV/f.u.) = -39.40
- calculated formation energy (eV/atom) = -0.055